## GeIrPdPb2 (GGA-PBE)

Data for a relaxed GeIrPdPb2 crystal.

```
GeIrPdPb2
1.0
-3.837 0.740 3.342
-3.369 0.244 -3.922
-0.718 -5.082 0.301
Ir Pb Ge Pd
1 2 1 1
Cartesian
-1.685 0.122 -1.961 Ir
-1.918 0.370 1.671 Pb
-0.359 -2.541 0.150 Pb
-3.962 -2.049 -0.140 Ge
0.000 0.000 0.000 Pd
```

Properties
SG: P4/mmm, No. 123
Fermi-level density of states: 8.50 states/eV per cell

## RbGeIrPb (GGA-PBE)

Data for a relaxed RbGeIrPb crystal.

```
RbGeIrPb
1.0
4.308 0.000 0.000
0.000 4.308 0.000
0.000 0.000 13.520
Rb Pb Ir Ge
2 2 2 2
Cartesian
1.077 1.077 10.384 Rb
3.231 3.231 3.136 Rb
1.077 3.231 6.760 Pb
3.231 1.077 6.760 Pb
3.231 1.077 0.000 Ir
1.077 3.231 0.000 Ir
1.077 1.077 1.234 Ge
3.231 3.231 12.286 Ge
```

Properties
SG: P4/nmm, No. 129
Fermi-level density of states: 5.69 states/eV per cell

## Zn2GeIrPb (GGA-PBE)

Data for a relaxed Zn2GeIrPb crystal.

```
Zn2GeIrPb
1.0
-2.044 -1.191 4.214
-3.996 -1.048 -2.234
1.507 -4.557 -0.557
Zn Ge Pb Ir
2 1 1 1
Cartesian
-1.022 -0.595 2.107 Zn
0.753 -2.279 -0.278 Zn
0.000 0.000 0.000 Ge
-2.266 -3.398 0.711 Pb
-1.998 -0.524 -1.117 Ir
```

Properties
SG: P4/mmm, No. 123
Fermi-level density of states: 3.21 states/eV per cell

## GeIr2Pd4 (GGA-PBE)

Data for a relaxed GeIr2Pd4 crystal.

```
GeIr2Pd4
1.0
-4.440 1.530 0.218
-1.531 -4.267 -1.246
-3.258 -3.007 5.432
Ir Pd Ge
2 4 1
Cartesian
-3.042 -1.706 0.710 Ir
-6.188 -4.038 3.694 Ir
-3.152 -2.369 3.118 Pd
-0.766 -2.133 -0.623 Pd
-6.077 -3.374 1.287 Pd
-2.220 0.765 0.109 Pd
0.000 0.000 0.000 Ge
```

Properties
SG: I4/mmm, No. 139
Fermi-level density of states: 8.81 states/eV per cell

## GeIr2Pd (GGA-PBE)

Data for a relaxed GeIr2Pd crystal.

```
GeIr2Pd
1.0
-2.883 1.800 -1.558
-1.890 -0.244 3.216
1.224 8.933 3.569
Ir Ge Pd
4 2 2
Cartesian
-1.748 3.338 0.312 Ir
-0.861 7.285 3.280 Ir
-1.219 2.296 2.717 Ir
-3.269 8.060 4.146 Ir
-2.386 0.778 0.829 Ge
-1.526 4.734 3.807 Ge
0.000 0.000 0.000 Pd
-2.022 5.755 1.420 Pd
```

Properties
SG: I-42d, No. 122
Fermi-level density of states: 10.36 states/eV per cell

## Ge2IrPd2 (GGA-PBE)

Data for a relaxed Ge2IrPd2 crystal.

```
Ge2IrPd2
1.0
-0.959 2.644 6.200
1.093 -6.118 2.778
3.270 0.682 0.215
Ge Pd Ir
4 4 2
Cartesian
0.230 -1.709 1.916 Ge
-0.097 -1.765 7.062 Ge
-0.459 0.787 4.483 Ge
0.593 -4.261 4.495 Ge
1.452 0.396 2.713 Pd
2.201 -3.221 2.795 Pd
1.203 0.428 6.398 Pd
1.951 -3.189 6.480 Pd
0.000 0.000 0.000 Ir
0.067 -1.737 4.489 Ir
```

Properties
SG: P4/mbm, No. 127
Fermi-level density of states: 4.80 states/eV per cell

## PmGe2IrPd (GGA-PBE)

Data for a relaxed PmGe2IrPd crystal.

```
PmGe2IrPd
1.0
4.221 0.000 0.000
0.000 4.221 0.000
-2.111 -2.111 5.238
Pd Ir Ge Pm
1 1 2 1
Cartesian
2.111 0.000 2.619 Pd
0.000 2.111 2.619 Ir
0.000 0.000 3.977 Ge
2.111 2.111 1.261 Ge
0.000 0.000 0.000 Pm
```

Properties
SG: I-4m2, No. 119
Fermi-level density of states: 4.63 states/eV per cell

## PmGeIrPd (GGA-PBE)

Data for a relaxed PmGeIrPd crystal.

```
PmGeIrPd
1.0
-2.904 -3.729 0.046
1.642 -4.259 1.226
-1.294 -1.937 4.113
Ge Pd Ir Pm
1 1 1 1
Cartesian
-1.278 -4.963 2.693 Ge
-1.917 -7.444 4.039 Pd
-0.639 -2.481 1.346 Ir
0.000 0.000 0.000 Pm
```

Properties
SG: F-43m, No. 216
Fermi-level density of states: 3.13 states/eV per cell

## Pm2Ge3Ir4Pd (GGA-PBE)

Data for a relaxed Pm2Ge3Ir4Pd crystal.

```
Pm2Ge3Ir4Pd
1.0
-3.279 -0.165 2.597
-1.136 -3.668 -1.667
5.952 -5.112 7.193
Pm Ir Pd Ge
2 4 1 3
Cartesian
3.905 -5.675 4.571 Pm
-0.160 -1.353 3.086 Pm
1.546 -3.650 1.721 Ir
0.000 0.000 0.000 Ir
2.199 -3.379 5.936 Ir
-2.207 -1.916 0.465 Ir
0.769 -4.473 4.061 Pd
0.194 -2.488 0.086 Ge
2.976 -2.556 3.596 Ge
3.551 -4.541 7.571 Ge
```

Properties
SG: P-4m2, No. 115
Fermi-level density of states: 5.53 states/eV per cell

## Pm2Ge4Ir3Pd (GGA-PBE)

Data for a relaxed Pm2Ge4Ir3Pd crystal.

```
Pm2Ge4Ir3Pd
1.0
4.288 0.000 0.000
0.000 4.288 0.000
0.000 0.000 10.182
Ge Ir Pm Pd
4 3 2 1
Cartesian
2.144 0.000 6.463 Ge
0.000 2.144 3.719 Ge
0.000 0.000 0.000 Ge
2.144 2.144 0.000 Ge
0.000 2.144 1.284 Ir
0.000 0.000 5.091 Ir
2.144 0.000 8.898 Ir
2.144 0.000 2.451 Pm
0.000 2.144 7.730 Pm
2.144 2.144 5.091 Pd
```

Properties
SG: P-4m2, No. 115
Fermi-level density of states: 5.68 states/eV per cell

## Pm2Ge4IrPd3 (GGA-PBE)

Data for a relaxed Pm2Ge4IrPd3 crystal.

```
Pm2Ge4IrPd3
1.0
4.275 0.000 0.000
0.000 4.275 0.000
0.000 0.000 10.372
Pm Ge Ir Pd
2 4 1 3
Cartesian
2.137 0.000 2.568 Pm
0.000 2.137 7.804 Pm
0.000 0.000 0.000 Ge
2.137 0.000 6.535 Ge
0.000 2.137 3.836 Ge
2.137 2.137 0.000 Ge
2.137 2.137 5.186 Ir
2.137 0.000 8.990 Pd
0.000 2.137 1.382 Pd
0.000 0.000 5.186 Pd
```

Properties
SG: P-4m2, No. 115
Fermi-level density of states: 6.43 states/eV per cell

## Pr2Ge4IrPd3 (GGA-PBE)

Data for a relaxed Pr2Ge4IrPd3 crystal.

```
Pr2Ge4IrPd3
1.0
4.322 0.000 0.000
0.000 4.322 0.000
0.000 0.000 10.323
Ir Pd Ge Pr
1 3 4 2
Cartesian
2.161 2.161 5.162 Ir
0.000 2.161 1.356 Pd
2.161 0.000 8.967 Pd
0.000 0.000 5.162 Pd
2.161 0.000 6.487 Ge
2.161 2.161 0.000 Ge
0.000 2.161 3.836 Ge
0.000 0.000 0.000 Ge
0.000 2.161 7.780 Pr
2.161 0.000 2.544 Pr
```

Properties
SG: P-4m2, No. 115
Fermi-level density of states: 6.85 states/eV per cell

## Pr2Ge4Ir3Pd (GGA-PBE)

Data for a relaxed Pr2Ge4Ir3Pd crystal.

```
Pr2Ge4Ir3Pd
1.0
-2.703 2.155 2.598
-0.897 -3.667 2.108
7.653 1.833 6.444
Ir Ge Pd Pr
3 4 1 2
Cartesian
0.509 -1.604 1.861 Ir
3.827 0.916 3.222 Ir
5.344 2.681 6.936 Ir
0.000 0.000 0.000 Ge
-1.800 -0.756 2.353 Ge
3.498 2.239 5.382 Ge
2.355 -1.162 3.414 Ge
2.027 0.160 5.575 Pd
5.359 -0.443 5.944 Pr
0.494 1.519 2.853 Pr
```

Properties
SG: P-4m2, No. 115
Fermi-level density of states: 6.26 states/eV per cell

## Sc2GeIrPd (GGA-PBE)

Data for a relaxed Sc2GeIrPd crystal.

```
Sc2GeIrPd
1.0
4.871 0.000 0.000
0.000 4.990 0.000
0.000 0.000 4.871
Ge Sc Ir Pd
1 2 1 1
Cartesian
2.436 2.495 2.436 Ge
2.436 0.000 0.000 Sc
0.000 0.000 2.436 Sc
0.000 0.000 0.000 Ir
0.000 2.495 0.000 Pd
```

Properties
SG: P4/mmm, No. 123
Fermi-level density of states: 5.48 states/eV per cell

## ScGeIrPd2 (GGA-PBE)

Data for a relaxed ScGeIrPd2 crystal.

```
ScGeIrPd2
1.0
4.975 0.000 0.000
0.000 4.506 0.000
0.000 0.000 4.975
Ge Pd Sc Ir
1 2 1 1
Cartesian
0.000 2.253 0.000 Ge
2.487 0.000 0.000 Pd
0.000 0.000 2.487 Pd
2.487 2.253 2.487 Sc
0.000 0.000 0.000 Ir
```

Properties
SG: P4/mmm, No. 123
Fermi-level density of states: 7.07 states/eV per cell

## Sm3Ge6IrPd2 (GGA-PBE)

Data for a relaxed Sm3Ge6IrPd2 crystal.

```
Sm3Ge6IrPd2
1.0
5.948 0.000 0.000
-2.974 5.151 0.000
0.000 0.000 8.049
Ge Pd Sm Ir
6 2 3 1
Cartesian
2.974 3.237 5.761 Ge
4.291 0.957 5.761 Ge
1.316 4.194 2.288 Ge
-1.316 4.194 2.288 Ge
0.000 1.914 2.288 Ge
1.658 0.957 5.761 Ge
2.974 1.717 7.928 Pd
0.000 3.434 0.121 Pd
0.000 0.000 0.000 Sm
2.974 1.717 3.078 Sm
0.000 3.434 4.971 Sm
0.000 0.000 4.024 Ir
```

Properties
SG: P-3m1, No. 164
Fermi-level density of states: 5.70 states/eV per cell

## Sm2Ge4Ir3Pd (GGA-PBE)

Data for a relaxed Sm2Ge4Ir3Pd crystal.

```
Sm2Ge4Ir3Pd
1.0
4.275 0.000 0.000
0.000 4.275 0.000
0.000 0.000 10.191
Ge Ir Sm Pd
4 3 2 1
Cartesian
2.138 0.000 6.472 Ge
0.000 2.138 3.719 Ge
2.138 2.138 0.000 Ge
0.000 0.000 0.000 Ge
2.138 0.000 8.901 Ir
0.000 2.138 1.290 Ir
0.000 0.000 5.096 Ir
0.000 2.138 7.738 Sm
2.138 0.000 2.453 Sm
2.138 2.138 5.096 Pd
```

Properties
SG: P-4m2, No. 115
Fermi-level density of states: 5.54 states/eV per cell

## Sm2Ge4IrPd3 (GGA-PBE)

Data for a relaxed Sm2Ge4IrPd3 crystal.

```
Sm2Ge4IrPd3
1.0
-4.049 -1.150 0.629
0.110 -2.332 -3.558
3.194 -8.236 5.498
Ge Sm Pd Ir
4 2 3 1
Cartesian
0.000 0.000 0.000 Ge
-0.010 -5.770 3.782 Ge
-1.969 -1.741 -1.465 Ge
1.234 -4.207 0.251 Ge
2.456 -7.357 2.354 Sm
-1.231 -2.620 1.680 Sm
0.741 -7.707 5.075 Pd
1.597 -4.118 2.749 Pd
0.484 -2.271 -1.041 Pd
-0.372 -5.859 1.285 Ir
```

Properties
SG: P-4m2, No. 115
Fermi-level density of states: 6.28 states/eV per cell

## SmGe2IrPd2 (GGA-PBE)

Data for a relaxed SmGe2IrPd2 crystal.

```
SmGe2IrPd2
1.0
-0.663 3.048 2.402
0.741 -2.292 3.114
9.020 1.945 -3.205
Ir Pd Ge Sm
1 2 2 1
Cartesian
0.000 0.000 0.000 Ir
4.900 0.015 1.333 Pd
4.198 2.686 0.977 Pd
3.043 1.148 2.610 Ge
6.055 1.553 -0.299 Ge
0.039 0.378 2.758 Sm
```

Properties
SG: I4/mmm, No. 139
Fermi-level density of states: 4.23 states/eV per cell

## SrGe2IrPd (GGA-PBE)

Data for a relaxed SrGe2IrPd crystal.

```
SrGe2IrPd
1.0
-2.090 -3.696 -0.807
3.320 -2.234 1.632
-2.861 3.175 4.443
Ge Ir Pd Sr
2 1 1 1
Cartesian
-1.660 0.155 3.588 Ge
0.029 -2.910 1.680 Ge
0.537 -1.012 3.244 Ir
-2.168 -1.743 2.024 Pd
0.000 0.000 0.000 Sr
```

Properties
SG: I-4m2, No. 119
Fermi-level density of states: 3.65 states/eV per cell

## Sr2Ge4Ir3Pd (GGA-PBE)

Data for a relaxed Sr2Ge4Ir3Pd crystal.

```
Sr2Ge4Ir3Pd
1.0
4.405 0.000 0.000
0.000 4.405 0.000
0.000 0.000 10.073
Ge Sr Ir Pd
4 2 3 1
Cartesian
2.203 2.203 0.000 Ge
0.000 0.000 0.000 Ge
2.203 0.000 6.314 Ge
0.000 2.203 3.759 Ge
2.203 0.000 2.488 Sr
0.000 2.203 7.586 Sr
0.000 0.000 5.037 Ir
0.000 2.203 1.246 Ir
2.203 0.000 8.827 Ir
2.203 2.203 5.037 Pd
```

Properties
SG: P-4m2, No. 115
Fermi-level density of states: 5.62 states/eV per cell

## Sr2Ge4IrPd3 (GGA-PBE)

Data for a relaxed Sr2Ge4IrPd3 crystal.

```
Sr2Ge4IrPd3
1.0
-3.470 -2.445 0.690
2.446 -3.531 -0.215
1.717 0.546 10.574
Pd Sr Ge Ir
3 2 4 1
Cartesian
-0.248 -0.750 9.506 Pd
1.452 -1.693 1.305 Pd
0.858 0.273 5.287 Pd
2.517 -1.354 7.866 Sr
-1.313 -1.088 2.945 Sr
-0.512 -2.988 0.237 Ge
1.865 -1.562 3.846 Ge
0.000 0.000 0.000 Ge
-0.660 -0.881 6.965 Ge
0.346 -2.715 5.524 Ir
```

Properties
SG: P-4m2, No. 115
Fermi-level density of states: 4.07 states/eV per cell

## Tb2Ge4Ir3Pd (GGA-PBE)

Data for a relaxed Tb2Ge4Ir3Pd crystal.

```
Tb2Ge4Ir3Pd
1.0
4.228 0.000 0.000
0.000 4.228 0.000
0.000 0.000 10.249
Ir Pd Tb Ge
3 1 2 4
Cartesian
2.114 0.000 8.934 Ir
0.000 2.114 1.315 Ir
0.000 0.000 5.125 Ir
2.114 2.114 5.125 Pd
0.000 2.114 7.781 Tb
2.114 0.000 2.469 Tb
0.000 2.114 3.730 Ge
2.114 2.114 0.000 Ge
0.000 0.000 0.000 Ge
2.114 0.000 6.519 Ge
```

Properties
SG: P-4m2, No. 115
Fermi-level density of states: 5.22 states/eV per cell

## TbGe2IrPd2 (GGA-PBE)

Data for a relaxed TbGe2IrPd2 crystal.

```
TbGe2IrPd2
1.0
3.897 0.000 0.000
0.000 3.897 0.000
-1.949 -1.949 9.285
Pd Tb Ge Ir
2 1 2 1
Cartesian
0.000 1.949 4.643 Pd
1.949 0.000 4.643 Pd
1.949 1.949 0.000 Tb
0.000 0.000 6.245 Ge
1.949 1.949 3.041 Ge
0.000 0.000 0.000 Ir
```

Properties
SG: I4/mmm, No. 139
Fermi-level density of states: 2.81 states/eV per cell

## ThGe2IrPd2 (GGA-PBE)

Data for a relaxed ThGe2IrPd2 crystal.

```
ThGe2IrPd2
1.0
3.931 0.000 0.000
0.000 3.931 0.000
-1.966 -1.966 9.461
Ge Ir Pd Th
2 1 2 1
Cartesian
1.966 1.966 3.156 Ge
0.000 0.000 6.305 Ge
0.000 0.000 0.000 Ir
0.000 1.966 4.730 Pd
1.966 0.000 4.730 Pd
1.966 1.966 0.000 Th
```

Properties
SG: I4/mmm, No. 139
Fermi-level density of states: 3.66 states/eV per cell

Here are the calculated size of the total moment numbers, same order: 0.00; 0.00; 0.00; 0.00; 0.00; 0.00; 0.00; 0.00; 0.00; 0.00; 0.00; 0.00; 0.00; 0.00; 0.00; 0.00; 0.00; 0.00; 0.00; 0.00; 0.00; 0.00; 0.00; 0.00; 0.00 (μB per formula unit).
Here are the calculated energy relative to the elements numbers, same order: 0.9294; -0.1327; 0.4751; 0.7834; 0.3164; -0.1796; -0.7409; -0.4370; -0.6844; -0.7782; -0.7869; -0.7911; -0.7746; 0.0681; 0.3782; -0.4459; -0.7740; -0.7803; 0.0254; -0.6359; -0.6141; -0.6711; -0.7606; 0.0083; -0.1508 (eV per atom).
Here are the calculated calculated total energy numbers, same order: -4.288; -4.671; -3.472; -5.375; -6.567; -5.876; -6.349; -6.292; -7.083; -6.753; -6.028; -6.038; -6.755; -6.199; -5.661; -5.538; -6.742; -6.015; -5.508; -5.630; -5.975; -5.298; -6.711; -5.510; -6.134 (eV per atom).